(i)
# PBE Hf4HN2, optimized geometry
data_Hf4HN2
_cell_length_a 4.1172
_cell_length_b 4.1172
_cell_length_c 12.8528
_cell_angle_alpha 90.00
_cell_angle_beta 90.00
_cell_angle_gamma 90.00
_space_group_name_H-M_alt 'I 4/m m m'
_space_group_IT_number 139
_space_group_name_Hall '-I 4 2'
loop_
_atom_site_label
_atom_site_fract_x
_atom_site_fract_y
_atom_site_fract_z
Hf1 0.0000 0.0000 0.2445
Hf2 0.0000 0.5000 0.0000
H1 0.0000 0.0000 0.5000
N1 0.0000 0.0000 0.0935
# **Magnetization**: 0.00 μB/cell
# **Volume**: 218 Å³ per cell
# **DOS(E_F)**: 0.304 states/eV per atom

(ii)
# PBE Hf4HN2, optimized geometry
data_Hf4HN2
_cell_length_a 6.3868
_cell_length_b 9.1106
_cell_length_c 3.1921
_cell_angle_alpha 90.00
_cell_angle_beta 90.00
_cell_angle_gamma 90.00
_space_group_name_H-M_alt 'C m m m'
_space_group_IT_number 65
_space_group_name_Hall '-C 2 2'
loop_
_atom_site_label
_atom_site_fract_x
_atom_site_fract_y
_atom_site_fract_z
Hf1 0.0000 0.2446 0.0000
Hf2 0.2454 0.5000 0.5000
H1 0.0000 0.5000 0.0000
N1 0.2500 0.2500 0.5000
# **Magnetization**: 0.00 μB/cell
# **Volume**: 186 Å³ per cell
# **DOS(E_F)**: 0.455 states/eV per atom

(iii)
# PBE Hf4HN2, optimized geometry
data_Hf4HN2
_cell_length_a 9.0875
_cell_length_b 9.0975
_cell_length_c 9.1100
_cell_angle_alpha 90.00
_cell_angle_beta 90.00
_cell_angle_gamma 90.00
_space_group_name_H-M_alt 'F d d d'
_space_group_IT_number 70
loop_
_space_group_symop_operation_xyz
'x,y,z'
'-x,-y,-z'
'-x+1/4,-y+1/4,z'
'x+1/4,y+1/4,-z'
'x,-y+1/4,-z+1/4'
'-x,y+1/4,z+1/4'
'-x+1/4,y,-z+1/4'
'x+1/4,-y,z+1/4'
'x,y+1/2,z+1/2'
'-x,-y+1/2,-z+1/2'
'-x+1/4,-y+3/4,z+1/2'
'x+1/4,y+3/4,-z+1/2'
'x,-y+3/4,-z+3/4'
'-x,y+3/4,z+3/4'
'-x+1/4,y+1/2,-z+3/4'
'x+1/4,-y+1/2,z+3/4'
'x+1/2,y,z+1/2'
'-x+1/2,-y,-z+1/2'
'-x+3/4,-y+1/4,z+1/2'
'x+3/4,y+1/4,-z+1/2'
'x+1/2,-y+1/4,-z+3/4'
'-x+1/2,y+1/4,z+3/4'
'-x+3/4,y,-z+3/4'
'x+3/4,-y,z+3/4'
'x+1/2,y+1/2,z'
'-x+1/2,-y+1/2,-z'
'-x+3/4,-y+3/4,z'
'x+3/4,y+3/4,-z'
'x+1/2,-y+3/4,-z+1/4'
'-x+1/2,y+3/4,z+1/4'
'-x+3/4,y+1/2,-z+1/4'
'x+3/4,-y+1/2,z+1/4'
loop_
_atom_site_label
_atom_site_fract_x
_atom_site_fract_y
_atom_site_fract_z
Hf1 0.0026 0.0028 0.2468
H1 0.1250 0.1250 0.6250
N1 0.0000 0.0000 0.0000
# **Magnetization**: 0.00 μB/cell
# **Volume**: 753 Å³ per cell
# **DOS(E_F)**: 0.503 states/eV per atom

Question: which arrangement is favored energetically? Ranking from most to least stable: (iii), (ii), (i).

(i)
# PBE HfHSN2, optimized geometry
data_HfHSN2
_cell_length_a 3.9052
_cell_length_b 3.9052
_cell_length_c 3.0937
_cell_angle_alpha 90.00
_cell_angle_beta 90.00
_cell_angle_gamma 90.00
_space_group_name_H-M_alt 'P 4/m m m'
_space_group_IT_number 123
_space_group_name_Hall '-P 4 2'
loop_
_atom_site_label
_atom_site_fract_x
_atom_site_fract_y
_atom_site_fract_z
Hf1 0.0000 0.0000 0.0000
H1 0.5000 0.5000 0.5000
S1 0.5000 0.5000 0.0000
N1 0.0000 0.5000 0.5000
# **Magnetization**: 0.26 μB/cell
# **Volume**: 47 Å³ per cell
# **DOS(E_F)**: 0.423 states/eV per atom

(ii)
# PBE HfHSN2, optimized geometry
data_HfHSN2
_cell_length_a 4.2487
_cell_length_b 4.2487
_cell_length_c 5.0369
_cell_angle_alpha 90.00
_cell_angle_beta 90.00
_cell_angle_gamma 90.00
_space_group_name_H-M_alt 'P 4/m m m'
_space_group_IT_number 123
_space_group_name_Hall '-P 4 2'
loop_
_atom_site_label
_atom_site_fract_x
_atom_site_fract_y
_atom_site_fract_z
Hf1 0.0000 0.0000 0.0000
H1 0.5000 0.5000 0.5000
S1 0.0000 0.0000 0.5000
N1 0.0000 0.5000 0.0000
# **Magnetization**: 3.64 μB/cell
# **Volume**: 91 Å³ per cell
# **DOS(E_F)**: 0.709 states/eV per atom

Question: which arrangement is favored energetically? Ranking from most to least stable: (i), (ii).

(i)
# PBE HfHS2N, optimized geometry
data_HfHS2N
_cell_length_a 4.9761
_cell_length_b 4.9761
_cell_length_c 4.2608
_cell_angle_alpha 90.00
_cell_angle_beta 90.00
_cell_angle_gamma 90.00
_space_group_name_H-M_alt 'P 4/m m m'
_space_group_IT_number 123
_space_group_name_Hall '-P 4 2'
loop_
_atom_site_label
_atom_site_fract_x
_atom_site_fract_y
_atom_site_fract_z
Hf1 0.0000 0.0000 0.0000
H1 0.5000 0.5000 0.5000
S1 0.0000 0.5000 0.0000
N1 0.0000 0.0000 0.5000
# **Magnetization**: 2.63 μB/cell
# **Volume**: 106 Å³ per cell
# **DOS(E_F)**: 0.898 states/eV per atom

(ii)
# PBE HfHS2N, optimized geometry
data_HfHS2N
_cell_length_a 3.3545
_cell_length_b 3.3545
_cell_length_c 5.3961
_cell_angle_alpha 90.00
_cell_angle_beta 90.00
_cell_angle_gamma 90.00
_space_group_name_H-M_alt 'P 4/m m m'
_space_group_IT_number 123
_space_group_name_Hall '-P 4 2'
loop_
_atom_site_label
_atom_site_fract_x
_atom_site_fract_y
_atom_site_fract_z
Hf1 0.0000 0.0000 0.0000
H1 0.5000 0.5000 0.5000
S1 0.0000 0.5000 0.5000
N1 0.5000 0.5000 0.0000
# **Magnetization**: 0.00 μB/cell
# **Volume**: 61 Å³ per cell
# **DOS(E_F)**: 0.216 states/eV per atom

Question: which arrangement is favored energetically? Ranking from most to least stable: (ii), (i).

(i)
# PBE HfHSe2N, optimized geometry
data_HfHSe2N
_cell_length_a 5.2439
_cell_length_b 5.2439
_cell_length_c 4.2093
_cell_angle_alpha 90.00
_cell_angle_beta 90.00
_cell_angle_gamma 90.00
_space_group_name_H-M_alt 'P 4/m m m'
_space_group_IT_number 123
_space_group_name_Hall '-P 4 2'
loop_
_atom_site_label
_atom_site_fract_x
_atom_site_fract_y
_atom_site_fract_z
Hf1 0.0000 0.0000 0.0000
H1 0.5000 0.5000 0.5000
Se1 0.0000 0.5000 0.0000
N1 0.0000 0.0000 0.5000
# **Magnetization**: 3.24 μB/cell
# **Volume**: 116 Å³ per cell
# **DOS(E_F)**: 0.720 states/eV per atom

(ii)
# PBE HfHSe2N, optimized geometry
data_HfHSe2N
_cell_length_a 3.6304
_cell_length_b 3.6304
_cell_length_c 5.3194
_cell_angle_alpha 90.00
_cell_angle_beta 90.00
_cell_angle_gamma 90.00
_space_group_name_H-M_alt 'P 4/m m m'
_space_group_IT_number 123
_space_group_name_Hall '-P 4 2'
loop_
_atom_site_label
_atom_site_fract_x
_atom_site_fract_y
_atom_site_fract_z
Hf1 0.0000 0.0000 0.0000
H1 0.5000 0.5000 0.5000
Se1 0.0000 0.5000 0.5000
N1 0.5000 0.5000 0.0000
# **Magnetization**: 0.00 μB/cell
# **Volume**: 70 Å³ per cell
# **DOS(E_F)**: 0.349 states/eV per atom

Question: which arrangement is favored energetically? Ranking from most to least stable: (i), (ii).

(i)
# PBE NaHfH3, optimized geometry
data_NaHfH3
_cell_length_a 3.6856
_cell_length_b 3.6856
_cell_length_c 3.6856
_cell_angle_alpha 90.00
_cell_angle_beta 90.00
_cell_angle_gamma 90.00
_space_group_name_H-M_alt 'P m -3 m'
_space_group_IT_number 221
_space_group_name_Hall '-P 4 2 3'
loop_
_atom_site_label
_atom_site_fract_x
_atom_site_fract_y
_atom_site_fract_z
Na1 0.0000 0.0000 0.0000
Hf1 0.5000 0.5000 0.5000
H1 0.0000 0.0000 0.5000
# **Magnetization**: 0.00 μB/cell
# **Volume**: 50 Å³ per cell
# **DOS(E_F)**: 0.368 states/eV per atom

(ii)
# PBE NaHfH3, optimized geometry
data_NaHfH3
_cell_length_a 3.8925
_cell_length_b 3.8925
_cell_length_c 3.8925
_cell_angle_alpha 90.00
_cell_angle_beta 90.00
_cell_angle_gamma 90.00
_space_group_name_H-M_alt 'P m -3 m'
_space_group_IT_number 221
_space_group_name_Hall '-P 4 2 3'
loop_
_atom_site_label
_atom_site_fract_x
_atom_site_fract_y
_atom_site_fract_z
Na1 0.0000 0.0000 0.0000
Hf1 0.5000 0.5000 0.5000
H1 0.0000 0.5000 0.5000
# **Magnetization**: 0.00 μB/cell
# **Volume**: 59 Å³ per cell
# **DOS(E_F)**: 0.316 states/eV per atom

Question: which arrangement is favored energetically? Ranking from most to least stable: (ii), (i).

(i)
# PBE Hf2NbH, optimized geometry
data_Hf2NbH
_cell_length_a 6.6891
_cell_length_b 6.6891
_cell_length_c 5.9277
_cell_angle_alpha 90.00
_cell_angle_beta 90.00
_cell_angle_gamma 90.00
_space_group_name_H-M_alt 'I -4 2 d'
_space_group_IT_number 122
_space_group_name_Hall 'I -4 2bw'
loop_
_atom_site_label
_atom_site_fract_x
_atom_site_fract_y
_atom_site_fract_z
Hf1 0.1604 0.2500 0.1250
Nb1 0.0000 0.0000 0.5000
H1 0.0000 0.0000 0.0000
# **Magnetization**: 0.00 μB/cell
# **Volume**: 265 Å³ per cell
# **DOS(E_F)**: 0.301 states/eV per atom

(ii)
# PBE Hf2NbH, optimized geometry
data_Hf2NbH
_cell_length_a 2.9323
_cell_length_b 2.9323
_cell_length_c 7.5289
_cell_angle_alpha 90.00
_cell_angle_beta 90.00
_cell_angle_gamma 90.00
_space_group_name_H-M_alt 'P 4/m m m'
_space_group_IT_number 123
_space_group_name_Hall '-P 4 2'
loop_
_atom_site_label
_atom_site_fract_x
_atom_site_fract_y
_atom_site_fract_z
Hf1 0.0000 0.0000 0.1930
Nb1 0.5000 0.5000 0.5000
H1 0.5000 0.5000 0.0000
# **Magnetization**: 0.00 μB/cell
# **Volume**: 65 Å³ per cell
# **DOS(E_F)**: 0.880 states/eV per atom

(iii)
# PBE Hf2NbH, optimized geometry
data_Hf2NbH
_cell_length_a 6.5389
_cell_length_b 6.5389
_cell_length_c 6.5389
_cell_angle_alpha 90.00
_cell_angle_beta 90.00
_cell_angle_gamma 90.00
_space_group_name_H-M_alt 'F m -3 m'
_space_group_IT_number 225
_space_group_name_Hall '-F 4 2 3'
loop_
_atom_site_label
_atom_site_fract_x
_atom_site_fract_y
_atom_site_fract_z
Hf1 0.2500 0.2500 0.2500
Nb1 0.0000 0.0000 0.0000
H1 0.0000 0.0000 0.5000
# **Magnetization**: 0.00 μB/cell
# **Volume**: 280 Å³ per cell
# **DOS(E_F)**: 0.810 states/eV per atom

Question: which arrangement is favored energetically? Ranking from most to least stable: (i), (ii), (iii).